Entry from the Alexandria database: an optimized crystal structure of MgAlF5 (PBE-GGA).

abc: 3.563 5.161 5.161
angles: 74.16 69.81 69.81
Sites, in units of the cell vectors:
1 F 0.242 0.758 0.758
2 F 0.000 0.297 0.703
3 F 0.000 0.703 0.297
4 F 0.758 0.242 0.242
5 F 0.500 0.000 0.000
6 Mg 0.500 0.500 0.500
7 Al 0.000 0.000 0.000

symmetry = Immm (71)
uncorrected formation energy = -339 kJ/mol of atoms
total magnetic moment = 0.0 μB/f.u.
mass density = 3.0 g/cm³
crystal system = orthorhombic



Entry from the Alexandria database: an optimized crystal structure of CsTi3Cu (PBE-GGA).

abc: 4.892 4.892 4.892
angles: 90.00 90.00 90.00
Sites, in units of the cell vectors:
1 Ti 0.500 0.000 0.000
2 Ti 0.000 0.000 0.500
3 Ti 0.000 0.500 0.000
4 Cs 0.500 0.500 0.500
5 Cu 0.000 0.000 0.000

energy of formation from the pure elements = 1100 meV per atom
symmetry = Pm-3m (221)
total magnetic moment = 0.0 μB/f.u.
mass density = 4.8 g/cm³
crystal system = cubic



Entry from the Alexandria database: an optimized crystal structure of HgAs2Ir (PBE-GGA).

abc: 6.219 6.219 6.219
angles: 152.56 133.99 54.41
Sites, in units of the cell vectors:
1 As 0.059 0.059 0.000
2 As 0.441 0.441 0.000
3 Ir 0.250 0.750 0.500
4 Hg 0.750 0.250 0.500

energy of formation from the pure elements = 153 meV per atom
symmetry = Immm (71)
total magnetic moment = 0.0 μB/f.u.
mass density = 11.4 g/cm³
crystal system = orthorhombic



Entry from the Alexandria database: an optimized crystal structure of Mg5Ag3Pb (PBE-GGA).

abc: 6.034 8.517 8.516
angles: 120.00 90.00 90.00
Sites, in units of the cell vectors:
1 Pb 0.000 0.000 0.000
2 Pb 0.500 0.000 0.000
3 Ag 0.750 0.646 0.000
4 Ag 0.250 0.000 0.354
5 Ag 0.250 0.354 0.000
6 Ag 0.750 0.354 0.354
7 Ag 0.250 0.646 0.646
8 Ag 0.750 0.000 0.646
9 Mg 0.750 0.000 0.330
10 Mg 0.500 0.667 0.333
11 Mg 0.750 0.670 0.670
12 Mg 0.250 0.330 0.330
13 Mg 0.750 0.330 0.000
14 Mg 0.000 0.667 0.333
15 Mg 0.250 0.670 0.000
16 Mg 0.500 0.333 0.667
17 Mg 0.250 0.000 0.670
18 Mg 0.000 0.333 0.667

energy of formation from the pure elements = -101 meV per atom
symmetry = P6_3/mcm (193)
total magnetic moment = 0.0 μB/f.u.
mass density = 5.7 g/cm³
crystal system = hexagonal



Entry from the Alexandria database: an optimized crystal structure of Ba3In3Pt2 (PBE-GGA).

abc: 6.426 8.964 17.148
angles: 90.00 90.00 90.00
Sites, in units of the cell vectors:
1 Pt 0.883 0.120 0.105
2 Pt 0.117 0.880 0.605
3 Pt 0.117 0.880 0.895
4 Pt 0.617 0.620 0.105
5 Pt 0.383 0.380 0.895
6 Pt 0.883 0.120 0.395
7 Pt 0.617 0.620 0.395
8 Pt 0.383 0.380 0.605
9 Ba 0.399 0.965 0.393
10 Ba 0.101 0.465 0.107
11 Ba 0.109 0.181 0.750
12 Ba 0.899 0.535 0.893
13 Ba 0.899 0.535 0.607
14 Ba 0.891 0.819 0.250
15 Ba 0.601 0.035 0.607
16 Ba 0.601 0.035 0.893
17 Ba 0.391 0.681 0.750
18 Ba 0.399 0.965 0.107
19 Ba 0.101 0.465 0.393
20 Ba 0.609 0.319 0.250
21 In 0.099 0.168 0.962
22 In 0.401 0.668 0.538
23 In 0.401 0.668 0.962
24 In 0.593 0.335 0.750
25 In 0.599 0.332 0.038
26 In 0.093 0.165 0.250
27 In 0.099 0.168 0.538
28 In 0.407 0.665 0.250
29 In 0.599 0.332 0.462
30 In 0.901 0.832 0.462
31 In 0.901 0.832 0.038
32 In 0.907 0.835 0.750

energy of formation from the pure elements = -583 meV per atom
symmetry = Pnma (62)
total magnetic moment = 0.0 μB/f.u.
mass density = 7.7 g/cm³
crystal system = orthorhombic



Entry from the Alexandria database: an optimized crystal structure of Rb3Ac2PuTe6 (PBE-GGA).

abc: 8.330 8.330 8.986
angles: 98.90 98.90 120.00
Last column: magnetic moment on the atom in μB.
Sites, in units of the cell vectors:
1 Ac 0.666 0.334 0.000  0.00
2 Ac 0.334 0.666 0.000  0.00
3 Te 0.250 0.250 0.792  -0.03
4 Te 0.750 0.750 0.208  -0.03
5 Te 0.611 0.931 0.792  -0.03
6 Te 0.931 0.611 0.792  -0.03
7 Te 0.389 0.069 0.208  -0.03
8 Te 0.069 0.389 0.208  -0.03
9 Rb 0.831 0.169 0.500  0.00
10 Rb 0.169 0.831 0.500  0.00
11 Rb 0.500 0.500 0.500  0.00
12 Pu 0.000 0.000 0.000  5.19

symmetry = C2/m (12)
uncorrected formation energy = -130 kJ/mol of atoms
total magnetic moment = 5.0 μB/f.u.
mass density = 5.6 g/cm³
crystal system = monoclinic



Entry from the Alexandria database: an optimized crystal structure of Cs2P2PdS6 (PBE-GGA).

abc: 6.971 6.971 8.359
angles: 65.35 65.35 60.00
Sites, in units of the cell vectors:
1 S 0.758 0.758 0.224
2 S 0.242 0.242 0.776
3 S 0.242 0.740 0.776
4 S 0.740 0.242 0.776
5 S 0.260 0.758 0.224
6 S 0.758 0.260 0.224
7 Cs 0.775 0.775 0.674
8 Cs 0.225 0.225 0.326
9 P 0.415 0.415 0.754
10 P 0.585 0.585 0.246
11 Pd 0.000 0.000 0.000

symmetry = R-3m (166)
uncorrected formation energy = -50 kJ/mol of atoms
total magnetic moment = 0.0 μB/f.u.
mass density = 3.4 g/cm³
crystal system = trigonal



Entry from the Alexandria database: an optimized crystal structure of PmDy2Al2 (PBE-GGA).

abc: 3.722 5.625 13.297
angles: 96.50 90.00 90.00
Sites, in units of the cell vectors:
1 Dy 0.750 0.151 0.110
2 Dy 0.250 0.849 0.890
3 Dy 0.250 0.260 0.537
4 Dy 0.750 0.740 0.463
5 Pm 0.750 0.319 0.767
6 Pm 0.250 0.681 0.233
7 Al 0.250 0.794 0.658
8 Al 0.750 0.206 0.342
9 Al 0.750 0.646 0.039
10 Al 0.250 0.354 0.961

energy of formation from the pure elements = -148 meV per atom
symmetry = P2_1/m (11)
total magnetic moment = 0.0 μB/f.u.
mass density = 6.3 g/cm³
crystal system = monoclinic



Entry from the Alexandria database: an optimized crystal structure of Ba5CaAg4 (PBE-GGA).

abc: 4.922 8.727 10.851
angles: 110.78 103.11 90.00
Sites, in units of the cell vectors:
1 Ba 0.813 0.412 0.625
2 Ba 0.150 0.040 0.299
3 Ba 0.187 0.588 0.375
4 Ba 0.500 0.500 0.000
5 Ba 0.850 0.960 0.701
6 Ag 0.371 0.694 0.742
7 Ag 0.034 0.239 0.068
8 Ag 0.629 0.306 0.258
9 Ag 0.966 0.761 0.932
10 Ca 0.500 0.000 0.000

energy of formation from the pure elements = -180 meV per atom
symmetry = C2/m (12)
total magnetic moment = 0.0 μB/f.u.
mass density = 4.5 g/cm³
crystal system = monoclinic



Entry from the Alexandria database: an optimized crystal structure of CrCdCo (PBE-GGA).

abc: 2.716 2.716 6.661
angles: 90.00 90.00 120.00
Last column: magnetic moment on the atom in μB.
Sites, in units of the cell vectors:
1 Cr 0.667 0.333 0.632  -0.31
2 Co 0.333 0.667 0.363  0.72
3 Cd 0.000 0.000 0.005  0.00

energy of formation from the pure elements = 451 meV per atom
symmetry = P3m1 (156)
total magnetic moment = 0.4 μB/f.u.
mass density = 8.7 g/cm³
crystal system = trigonal



Entry from the Alexandria database: an optimized crystal structure of NaTl2RuCl6 (PBE-GGA).

abc: 7.187 7.233 10.194
angles: 90.00 90.00 90.00
Last column: magnetic moment on the atom in μB.
Sites, in units of the cell vectors:
1 Tl 0.500 0.749 0.245  0.00
2 Tl 0.000 0.251 0.255  0.00
3 Tl 0.000 0.251 0.745  0.00
4 Tl 0.500 0.749 0.755  0.00
5 Cl 0.266 0.482 0.500  0.02
6 Cl 0.766 0.518 0.000  0.02
7 Cl 0.000 0.749 0.233  0.02
8 Cl 0.000 0.749 0.767  0.02
9 Cl 0.734 0.019 0.500  0.02
10 Cl 0.266 0.019 0.500  0.02
11 Cl 0.500 0.251 0.267  0.02
12 Cl 0.234 0.981 0.000  0.02
13 Cl 0.766 0.981 0.000  0.02
14 Cl 0.734 0.482 0.500  0.02
15 Cl 0.234 0.518 0.000  0.02
16 Cl 0.500 0.251 0.733  0.02
17 Ru 0.500 0.250 0.500  0.77
18 Ru 0.000 0.750 0.000  0.77
19 Na 0.500 0.249 0.000  0.00
20 Na 0.000 0.751 0.500  0.00

symmetry = Pmmn (59)
uncorrected formation energy = -91 kJ/mol of atoms
total magnetic moment = 1.0 μB/f.u.
mass density = 4.7 g/cm³
crystal system = orthorhombic



Entry from the Alexandria database: an optimized crystal structure of Ba6Na2HIr (PBE-GGA).

abc: 8.685 8.685 8.681
angles: 120.01 120.01 90.01
Sites, in units of the cell vectors:
1 Ba 0.252 0.252 0.000
2 Ba 0.251 0.749 0.000
3 Ba 0.749 0.749 0.497
4 Ba 0.748 0.252 0.000
5 Ba 0.251 0.251 0.502
6 Ba 0.748 0.749 0.999
7 Ir 0.500 0.500 0.000
8 H 0.000 0.001 0.000
9 Na 0.250 0.750 0.500
10 Na 0.750 0.250 0.500

symmetry = I4mm (107)
E_tot = -2.79 eV per atom
total magnetic moment = 0.0 μB/f.u.
mass density = 3.8 g/cm³
crystal system = tetragonal